Compound: Ga4IrPd
Source: Alexandria
Functional: PBE-GGA
Structure: relaxed

Lattice parameters (Å, degrees): 2.997 5.395 13.188 107.21 90.00 90.00
Sites, in units of the cell vectors:
Pd (0.000, 0.000, 0.000)
Pd (0.500, 0.500, 0.500)
Ga (0.500, 0.062, 0.351)
Ga (0.000, 0.562, 0.851)
Ga (0.000, 0.438, 0.149)
Ga (0.000, 0.431, 0.651)
Ga (0.500, 0.938, 0.649)
Ga (0.500, 0.931, 0.151)
Ga (0.500, 0.069, 0.849)
Ga (0.000, 0.569, 0.349)
Ir (0.000, 0.000, 0.500)
Ir (0.500, 0.500, 0.000)

Summary:
DFT total energy, eV per formula unit: -27.95
Calculated formation energy, kJ/mol of atoms: -28.81

Compound: Ga5Ir4Pd
Source: Alexandria
Functional: PBE-GGA
Structure: relaxed

Lattice parameters (Å, degrees): 2.976 2.976 16.350 90.00 90.00 90.00
Sites, in units of the cell vectors:
Ir (0.000, 0.000, 0.598)
Ir (0.000, 0.000, 0.795)
Ir (0.000, 0.000, 0.402)
Ir (0.000, 0.000, 0.205)
Ga (0.500, 0.500, 0.500)
Ga (0.500, 0.500, 0.304)
Ga (0.500, 0.500, 0.696)
Ga (0.500, 0.500, 0.106)
Ga (0.500, 0.500, 0.894)
Pd (0.000, 0.000, 0.000)

Summary:
DFT total energy, eV per formula unit: -60.06
Calculated formation energy, kJ/mol of atoms: -41.38

Compound: Ga6Ir3Pd
Source: Alexandria
Functional: PBE-GGA
Structure: relaxed

Lattice parameters (Å, degrees): 6.508 6.524 7.897 90.00 91.76 90.00
Sites, in units of the cell vectors:
Ir (0.000, 0.000, 0.500)
Ir (0.536, 0.837, 0.747)
Ir (0.500, 0.500, 0.000)
Ir (0.036, 0.663, 0.247)
Ir (0.964, 0.337, 0.753)
Ir (0.464, 0.163, 0.253)
Pd (0.000, 0.000, 0.000)
Pd (0.500, 0.500, 0.500)
Ga (0.847, 0.644, 0.937)
Ga (0.272, 0.553, 0.747)
Ga (0.153, 0.356, 0.063)
Ga (0.145, 0.344, 0.425)
Ga (0.728, 0.447, 0.253)
Ga (0.347, 0.856, 0.437)
Ga (0.772, 0.947, 0.247)
Ga (0.855, 0.656, 0.575)
Ga (0.228, 0.053, 0.753)
Ga (0.645, 0.156, 0.925)
Ga (0.355, 0.844, 0.075)
Ga (0.653, 0.144, 0.563)

Summary:
DFT total energy, eV per formula unit: -53.05
Calculated formation energy, kJ/mol of atoms: -30.04

Compound: Ga8IrPd2
Source: Alexandria
Functional: PBE-GGA
Structure: relaxed

Lattice parameters (Å, degrees): 4.361 8.764 6.545 117.91 107.46 104.60
Sites, in units of the cell vectors:
Ga (0.201, 0.162, 0.259)
Ga (0.587, 0.890, 0.314)
Ga (0.799, 0.838, 0.741)
Ga (0.289, 0.481, 0.139)
Ga (0.775, 0.365, 0.251)
Ga (0.711, 0.519, 0.861)
Ga (0.413, 0.110, 0.686)
Ga (0.225, 0.635, 0.749)
Pd (0.013, 0.723, 0.386)
Pd (0.987, 0.277, 0.614)
Ir (0.500, 0.000, 0.000)

Summary:
DFT total energy, eV per formula unit: -47.03
Calculated formation energy, kJ/mol of atoms: -31.34
Polymorph energy (0 for the lowest one), meV/atom: 21

Quick rundown of density of states at the Fermi level, same order as above: 2.3, 4.0, 4.1, 3.0 states/eV/f.u.